No. 1
The following is a PBE calculation of crystalline InNi2Pd at its relaxed geometry, from the Alexandria database.

a = 3.744 Å, b = 3.744 Å, c = 9.498 Å
α = 78.63°, β = 78.63°, γ = 90.00°
Each line ends with the local moment (μB).
Element x y z (fractional)
1 Ni 0.598 0.125 0.250  0.38
2 Ni 0.152 0.625 0.250  0.37
3 Ni 0.375 0.402 0.750  0.39
4 Ni 0.875 0.848 0.750  0.39
5 Pd 0.500 0.500 0.000  0.04
6 Pd 0.250 0.750 0.500  0.04
7 In 0.000 0.000 0.000  0.00
8 In 0.750 0.250 0.500  0.00

Calculated values
- ΔH_f (0 K) (meV/atom) = 204
- space group = I-42d, No. 122


No. 2
The following is a PBE calculation of crystalline MgTlHg at its relaxed geometry, from the Alexandria database.

a = 4.892 Å, b = 4.892 Å, c = 4.892 Å
α = 60.00°, β = 60.00°, γ = 60.00°
Element x y z (fractional)
1 Hg 0.750 0.750 0.750
2 Mg 0.000 0.000 0.000
3 Tl 0.500 0.500 0.500

Calculated values
- polymorph energy (0 for the lowest one) (eV per formula unit) = 0.17
- ΔH_f (0 K) (meV/atom) = -14
- space group = F-43m, No. 216


Repeat the second record exactly.
The following is a PBE calculation of crystalline MgTlHg at its relaxed geometry, from the Alexandria database.

a = 4.892 Å, b = 4.892 Å, c = 4.892 Å
α = 60.00°, β = 60.00°, γ = 60.00°
Element x y z (fractional)
1 Hg 0.750 0.750 0.750
2 Mg 0.000 0.000 0.000
3 Tl 0.500 0.500 0.500

Calculated values
- polymorph energy (0 for the lowest one) (eV per formula unit) = 0.17
- ΔH_f (0 K) (meV/atom) = -14
- space group = F-43m, No. 216